No. 1
Computed, not measured: crystalline TlGaPtSe at its relaxed geometry at the GGA-PBE level of DFT.

Values from the calculation:
Symmetry: No. 8
Total energy in eV/cell: -16.112
E_form (uncorrected) in eV/f.u.: -1.19
Density of states at the Fermi level in states/eV per cell: 1.28

Lattice parameters (Å, degrees): 4.285 4.304 7.101 90.03 107.41 120.08
Fractional positions:
Ga1 0.357 0.265 0.377
Se1 0.292 0.734 0.770
Tl1 0.769 0.472 0.990
Pt1 0.040 0.607 0.400

=====

No. 2
Computed, not measured: crystalline CsTlICl6 at its relaxed geometry at the GGA-PBE level of DFT.

Values from the calculation:
Symmetry: No. 149
Total energy in eV/cell: -21.488
E_form (uncorrected) in eV/f.u.: -5.64
Density of states at the Fermi level in states/eV per cell: 0.52

Lattice parameters (Å, degrees): 7.507 7.507 7.447 90.00 90.00 60.00
Fractional positions:
Cl1 0.041 0.354 0.289
Cl2 0.605 0.041 0.289
Cl3 0.354 0.041 0.711
Cl4 0.354 0.605 0.289
Cl5 0.041 0.605 0.711
Cl6 0.605 0.354 0.711
Tl1 0.333 0.333 0.500
Cs1 0.000 0.000 0.000
I1 0.667 0.667 0.500

=====

No. 3
Computed, not measured: crystalline HfMg3Al at its relaxed geometry at the GGA-PBE level of DFT.

Values from the calculation:
Symmetry: No. 221
Total energy in eV/cell: -11.716
Formation enthalpy at 0 K in eV per atom: 1.3528
Density of states at the Fermi level in states/eV per cell: 8.74

Lattice parameters (Å, degrees): 5.619 5.619 5.619 90.00 90.00 90.00
Fractional positions:
Hf1 0.000 0.000 0.000
Al1 0.500 0.500 0.500
Mg1 0.000 0.000 0.500
Mg2 0.000 0.500 0.000
Mg3 0.500 0.000 0.000

=====

No. 4
Computed, not measured: crystalline CsSiIN2 at its relaxed geometry at the GGA-PBE level of DFT.

Values from the calculation:
Symmetry: No. 123
Total energy in eV/cell: -18.709
E_form (uncorrected) in eV/f.u.: 5.77
Density of states at the Fermi level in states/eV per cell: 2.42

Lattice parameters (Å, degrees): 4.469 4.469 5.564 90.00 90.00 90.00
Fractional positions:
Cs1 0.500 0.500 0.500
Si1 0.000 0.000 0.000
N1 0.500 0.000 0.000
N2 0.000 0.500 0.000
I1 0.000 0.000 0.500

=====

No. 5
Computed, not measured: crystalline ZrFe3Sb at its relaxed geometry at the GGA-PBE level of DFT.

Values from the calculation:
Symmetry: No. 221
Total energy in eV/cell: -33.121
E_form (uncorrected) in eV/f.u.: 4.94
Density of states at the Fermi level in states/eV per cell: 8.39

Lattice parameters (Å, degrees): 4.642 4.642 4.642 90.00 90.00 90.00
Fractional positions:
Fe1 0.000 0.500 0.000
Fe2 0.500 0.000 0.000
Fe3 0.000 0.000 0.500
Zr1 0.500 0.500 0.500
Sb1 0.000 0.000 0.000

=====

No. 6
Computed, not measured: crystalline BaAgMo2 at its relaxed geometry at the GGA-PBE level of DFT.

Values from the calculation:
Symmetry: No. 6
Total energy in eV/cell: -24.336
Formation enthalpy at 0 K in eV per atom: 0.5251
Density of states at the Fermi level in states/eV per cell: 4.45

Lattice parameters (Å, degrees): 3.323 3.335 8.797 70.20 90.00 90.00
Fractional positions:
Mo1 0.500 0.239 0.223
Mo2 0.000 0.945 0.079
Ba1 0.500 0.766 0.756
Ag1 0.000 0.550 0.442

=====

No. 7
Computed, not measured: crystalline Pr3Mg2In4 at its relaxed geometry at the GGA-PBE level of DFT.

Values from the calculation:
Symmetry: No. 12
Total energy in eV/cell: -32.342
Formation enthalpy at 0 K in eV per atom: -0.4289
Density of states at the Fermi level in states/eV per cell: 5.96

Lattice parameters (Å, degrees): 4.997 6.295 9.484 112.77 90.00 113.38
Fractional positions:
Pr1 0.000 0.000 0.000
Pr2 0.665 0.330 0.668
Pr3 0.335 0.670 0.332
Mg1 0.386 0.772 0.717
Mg2 0.614 0.228 0.283
In1 0.933 0.865 0.601
In2 0.067 0.135 0.399
In3 0.293 0.587 0.955
In4 0.707 0.413 0.045

=====

No. 8
Computed, not measured: crystalline PrScOsPd at its relaxed geometry at the GGA-PBE level of DFT.

Values from the calculation:
Symmetry: No. 216
Total energy in eV/cell: -29.060
Formation enthalpy at 0 K in eV per atom: -0.3815
Density of states at the Fermi level in states/eV per cell: 2.02

Lattice parameters (Å, degrees): 4.853 4.853 4.853 60.00 60.00 60.00
Fractional positions:
Sc1 0.000 0.000 0.000
Os1 0.250 0.250 0.250
Pd1 0.750 0.750 0.750
Pr1 0.500 0.500 0.500

=====

No. 9
Computed, not measured: crystalline LiCoPt at its relaxed geometry at the GGA-PBE level of DFT.

Values from the calculation:
Symmetry: No. 38
Total energy in eV/cell: -30.801
Formation enthalpy at 0 K in eV per atom: -0.1133
Density of states at the Fermi level in states/eV per cell: 5.65

Lattice parameters (Å, degrees): 2.690 2.690 12.958 90.00 90.00 120.00
Fractional positions:
Li1 0.612 0.224 0.332
Li2 0.612 0.224 0.668
Pt1 0.279 0.558 0.500
Pt2 0.610 0.220 0.000
Co1 0.277 0.554 0.165
Co2 0.277 0.554 0.835

=====

No. 10
Computed, not measured: crystalline La2SmHo4 at its relaxed geometry at the GGA-PBE level of DFT.

Values from the calculation:
Symmetry: No. 1
Total energy in eV/cell: -65.420
Formation enthalpy at 0 K in eV per atom: 0.0250
Density of states at the Fermi level in states/eV per cell: 20.04

Lattice parameters (Å, degrees): 10.792 8.834 8.061 111.31 107.52 122.90
Fractional positions:
La1 0.372 0.857 0.629
La2 0.235 0.573 0.053
La3 0.659 0.427 0.763
La4 0.731 0.070 0.551
Ho1 0.874 0.357 0.129
Ho2 0.303 0.214 0.840
Ho3 0.161 0.930 0.268
Ho4 0.018 0.646 0.696
Ho5 0.518 0.146 0.196
Ho6 0.445 0.497 0.410
Ho7 0.089 0.281 0.478
Ho8 0.591 0.784 0.981
Sm1 0.805 0.716 0.342
Sm2 0.949 0.002 0.915

=====

No. 11
Computed, not measured: crystalline NiAg3Pd6 at its relaxed geometry at the GGA-PBE level of DFT.

Values from the calculation:
Symmetry: No. 11
Total energy in eV/cell: -90.225
Formation enthalpy at 0 K in eV per atom: 0.0379
Density of states at the Fermi level in states/eV per cell: 26.08

Lattice parameters (Å, degrees): 4.611 7.455 10.055 113.70 90.00 90.00
Fractional positions:
Pd1 0.750 0.935 0.142
Pd2 0.250 0.464 0.068
Pd3 0.750 0.837 0.832
Pd4 0.750 0.753 0.531
Pd5 0.250 0.247 0.469
Pd6 0.750 0.536 0.932
Pd7 0.250 0.872 0.283
Pd8 0.250 0.681 0.666
Pd9 0.250 0.163 0.168
Pd10 0.750 0.128 0.717
Pd11 0.250 0.065 0.858
Pd12 0.750 0.319 0.334
Ni1 0.250 0.967 0.567
Ni2 0.750 0.033 0.433
Ag1 0.250 0.369 0.767
Ag2 0.750 0.228 0.028
Ag3 0.250 0.772 0.972
Ag4 0.750 0.631 0.233
Ag5 0.750 0.442 0.629
Ag6 0.250 0.558 0.371

=====

No. 12
Computed, not measured: crystalline MgSi2SBr at its relaxed geometry at the GGA-PBE level of DFT.

Values from the calculation:
Symmetry: No. 123
Total energy in eV/cell: -15.581
E_form (uncorrected) in eV/f.u.: 2.66
Density of states at the Fermi level in states/eV per cell: 6.49

Lattice parameters (Å, degrees): 4.892 5.035 4.892 90.00 90.00 90.00
Fractional positions:
Mg1 0.000 0.500 0.000
Si1 0.000 0.000 0.500
Si2 0.500 0.000 0.000
S1 0.000 0.000 0.000
Br1 0.500 0.500 0.500